# BaAc4Mg5 | Alexandria via LeMat-Bulk | PBE | optimized geometry
data_BaAc4Mg5
_chemical_formula_sum 'Ba1 Ac4 Mg5'
_cell_length_a 4.1488
_cell_length_b 4.1488
_cell_length_c 20.9608
_cell_angle_alpha 90.00
_cell_angle_beta 90.00
_cell_angle_gamma 90.00
_symmetry_space_group_name_H-M 'P 4/m m m'
_symmetry_Int_Tables_number 123
_symmetry_space_group_name_Hall '-P 4 2'
loop_
_atom_site_label
_atom_site_type_symbol
_atom_site_fract_x
_atom_site_fract_y
_atom_site_fract_z
Ba1 Ba 0.0000 0.0000 0.0000
Ac1 Ac 0.0000 0.0000 0.2095
Ac2 Ac 0.0000 0.0000 0.4026
Mg1 Mg 0.5000 0.5000 0.1124
Mg2 Mg 0.5000 0.5000 0.3053
Mg3 Mg 0.5000 0.5000 0.5000
# **Uncorrected energy**: -27.1 eV for the cell shown
# **Energy of formation from the pure elements**: -72 kJ/mol of formula units

=====

# BaAc2Mg | Alexandria via LeMat-Bulk | PBE | optimized geometry
data_BaAc2Mg
_chemical_formula_sum 'Ba1 Ac2 Mg1'
_cell_length_a 4.1467
_cell_length_b 4.1467
_cell_length_c 10.2252
_cell_angle_alpha 90.00
_cell_angle_beta 90.00
_cell_angle_gamma 90.00
_symmetry_space_group_name_H-M 'P 4/m m m'
_symmetry_Int_Tables_number 123
_symmetry_space_group_name_Hall '-P 4 2'
loop_
_atom_site_label
_atom_site_type_symbol
_atom_site_fract_x
_atom_site_fract_y
_atom_site_fract_z
Ba1 Ba 0.0000 0.0000 0.0000
Ac1 Ac 0.5000 0.5000 0.3051
Mg1 Mg 0.0000 0.0000 0.5000
# **Energy above the most stable polymorph in this dataset**: 0.0 meV/atom
# **Uncorrected energy**: -11.7 eV for the cell shown
# **Energy of formation from the pure elements**: 6 kJ/mol of formula units

=====

# BaAc4Mg | Alexandria via LeMat-Bulk | PBE | optimized geometry
data_BaAc4Mg
_chemical_formula_sum 'Ba4 Ac16 Mg4'
_cell_length_a 10.4712
_cell_length_b 10.4712
_cell_length_c 10.4712
_cell_angle_alpha 90.00
_cell_angle_beta 90.00
_cell_angle_gamma 90.00
_symmetry_space_group_name_H-M 'F -4 3 m'
_symmetry_Int_Tables_number 216
_symmetry_space_group_name_Hall 'F -4 2 3'
loop_
_atom_site_label
_atom_site_type_symbol
_atom_site_fract_x
_atom_site_fract_y
_atom_site_fract_z
Ba1 Ba 0.0000 0.0000 0.0000
Ac1 Ac 0.1235 0.1235 0.6235
Mg1 Mg 0.2500 0.2500 0.2500
# **Uncorrected energy**: -72.5 eV for the cell shown
# **Energy of formation from the pure elements**: 177 kJ/mol of formula units

=====

# Ba3Ac12Mg5 | Alexandria via LeMat-Bulk | PBE | optimized geometry
data_Ba3Ac12Mg5
_chemical_formula_sum 'Ba24 Ac96 Mg40'
_cell_length_a 20.4511
_cell_length_b 20.4511
_cell_length_c 20.4511
_cell_angle_alpha 90.00
_cell_angle_beta 90.00
_cell_angle_gamma 90.00
_symmetry_space_group_name_H-M 'I a -3 d'
_symmetry_Int_Tables_number 230
_symmetry_space_group_name_Hall '-I 4bd 2c 3'
loop_
_atom_site_label
_atom_site_type_symbol
_atom_site_fract_x
_atom_site_fract_y
_atom_site_fract_z
Ba1 Ba 0.0000 0.2500 0.1250
Ac1 Ac 0.0240 0.0696 0.6414
Mg1 Mg 0.0000 0.0000 0.0000
Mg2 Mg 0.0000 0.2500 0.3750
# **Uncorrected energy**: -391.4 eV for the cell shown
# **Energy of formation from the pure elements**: 1363 kJ/mol of formula units

=====

# BaAcMg10 | Alexandria via LeMat-Bulk | PBE | optimized geometry
data_BaAcMg10
_chemical_formula_sum 'Ba1 Ac1 Mg10'
_cell_length_a 5.0545
_cell_length_b 6.2275
_cell_length_c 10.7746
_cell_angle_alpha 90.00
_cell_angle_beta 90.00
_cell_angle_gamma 90.00
_symmetry_space_group_name_H-M 'P m m m'
_symmetry_Int_Tables_number 47
loop_
_symmetry_equiv_pos_as_xyz
'x,y,z'
'-x,-y,-z'
'-x,-y,z'
'x,y,-z'
'x,-y,-z'
'-x,y,z'
'-x,y,-z'
'x,-y,z'
loop_
_atom_site_label
_atom_site_type_symbol
_atom_site_fract_x
_atom_site_fract_y
_atom_site_fract_z
Ba1 Ba 0.0000 0.0000 0.0000
Ac1 Ac 0.0000 0.5000 0.5000
Mg1 Mg 0.0000 0.0000 0.3362
Mg2 Mg 0.0000 0.5000 0.1702
Mg3 Mg 0.5000 0.0000 0.5000
Mg4 Mg 0.5000 0.2539 0.2565
Mg5 Mg 0.5000 0.5000 0.0000
# **Uncorrected energy**: -22.8 eV for the cell shown
# **Energy of formation from the pure elements**: -84 kJ/mol of formula units

=====

# BaAcMg2 | Alexandria via LeMat-Bulk | PBE | optimized geometry
data_BaAcMg2
_chemical_formula_sum 'Ba1 Ac1 Mg2'
_cell_length_a 4.2284
_cell_length_b 4.2284
_cell_length_c 8.5037
_cell_angle_alpha 90.00
_cell_angle_beta 90.00
_cell_angle_gamma 90.00
_symmetry_space_group_name_H-M 'P 4/m m m'
_symmetry_Int_Tables_number 123
_symmetry_space_group_name_Hall '-P 4 2'
loop_
_atom_site_label
_atom_site_type_symbol
_atom_site_fract_x
_atom_site_fract_y
_atom_site_fract_z
Ba1 Ba 0.0000 0.0000 0.0000
Ac1 Ac 0.0000 0.0000 0.5000
Mg1 Mg 0.5000 0.5000 0.2717
# **Uncorrected energy**: -9.5 eV for the cell shown
# **Energy of formation from the pure elements**: -23 kJ/mol of formula units

=====

Copy entry 4 word for word.
# Ba3Ac12Mg5 | Alexandria via LeMat-Bulk | PBE | optimized geometry
data_Ba3Ac12Mg5
_chemical_formula_sum 'Ba24 Ac96 Mg40'
_cell_length_a 20.4511
_cell_length_b 20.4511
_cell_length_c 20.4511
_cell_angle_alpha 90.00
_cell_angle_beta 90.00
_cell_angle_gamma 90.00
_symmetry_space_group_name_H-M 'I a -3 d'
_symmetry_Int_Tables_number 230
_symmetry_space_group_name_Hall '-I 4bd 2c 3'
loop_
_atom_site_label
_atom_site_type_symbol
_atom_site_fract_x
_atom_site_fract_y
_atom_site_fract_z
Ba1 Ba 0.0000 0.2500 0.1250
Ac1 Ac 0.0240 0.0696 0.6414
Mg1 Mg 0.0000 0.0000 0.0000
Mg2 Mg 0.0000 0.2500 0.3750
# **Uncorrected energy**: -391.4 eV for the cell shown
# **Energy of formation from the pure elements**: 1363 kJ/mol of formula units

=====

- Which of these has the lowest uncorrected energy?
  Ba3Ac12Mg5

=====

- Which value of uncorrected energy does entry 1 give?
  -27.1 eV for the cell shown

=====

- uncorrected energy of number 5 (BaAcMg10)?
  -22.8 eV for the cell shown